# 1
Below is a relaxed PmTmCdCo crystal, with properties calculated at the PBE-GGA level.

## Properties
**ΔE_f**: -0.90 eV/f.u.
**DOS at the Fermi energy**: 3.00 states/eV/f.u.
**Distance to the lowest polymorph of the same formula**: 0 meV per atom

Unit cell a=3.436 b=3.436 c=7.746 alpha=90.00 beta=90.00 gamma=90.00
Atoms (fractional coordinates):
Pm 0.000 0.000 0.000
Tm 0.000 0.000 0.576
Cd 0.500 0.500 0.303
Co 0.500 0.500 0.773

# 2
Below is a relaxed B5C7 crystal, with properties calculated at the PBE-GGA level.

## Properties
**ΔE_f**: 3.93 eV/f.u.
**DOS at the Fermi energy**: 2.16 states/eV/f.u.
**Distance to the lowest polymorph of the same formula**: 70 meV per atom

Unit cell a=7.042 b=7.042 c=4.672 alpha=108.09 beta=108.09 gamma=21.31
Atoms (fractional coordinates):
B 0.000 0.000 0.000
B 0.177 0.177 0.180
B 0.369 0.369 0.015
B 0.531 0.531 0.522
B 0.808 0.808 0.175
C 0.198 0.198 0.545
C 0.316 0.316 0.650
C 0.488 0.488 0.160
C 0.656 0.656 0.659
C 0.687 0.687 0.013
C 0.860 0.860 0.542
C 0.976 0.976 0.649

# 3
Below is a relaxed GaSnP crystal, with properties calculated at the PBE-GGA level.

## Properties
**ΔE_f**: -0.06 eV/f.u.
**DOS at the Fermi energy**: 0.68 states/eV/f.u.
**Distance to the lowest polymorph of the same formula**: 58 meV per atom

Unit cell a=3.776 b=3.777 c=11.311 alpha=80.72 beta=80.66 gamma=60.87
Atoms (fractional coordinates):
Ga 0.000 0.000 0.000
Ga 0.162 0.166 0.541
Sn 0.345 0.810 0.770
Sn 0.560 0.605 0.270
P 0.311 0.295 0.097
P 0.867 0.854 0.443

# 4
Below is a relaxed Ca2NpCuSe5 crystal, with properties calculated at the PBE-GGA level.

## Properties
**Formation energy from raw total energies**: -120.1 kJ per mole of atoms
**DOS at the Fermi energy**: 6.91 states/eV/f.u.

Unit cell a=9.045 b=9.045 c=12.469 alpha=90.00 beta=90.00 gamma=154.07
Atoms (fractional coordinates):
Ca 0.107 0.893 0.500
Ca 0.112 0.888 0.146
Ca 0.888 0.112 0.646
Ca 0.893 0.107 0.000
Np 0.201 0.799 0.834
Np 0.799 0.201 0.334
Cu 0.432 0.568 0.244
Cu 0.568 0.432 0.744
Se 0.049 0.951 0.846
Se 0.296 0.704 0.488
Se 0.301 0.699 0.178
Se 0.359 0.641 0.825
Se 0.499 0.501 0.578
Se 0.501 0.499 0.078
Se 0.641 0.359 0.325
Se 0.699 0.301 0.678
Se 0.704 0.296 0.988
Se 0.951 0.049 0.346

# 5
Below is a relaxed KTl2In crystal, with properties calculated at the PBE-GGA level.

## Properties
**ΔE_f**: -0.38 eV/f.u.
**DOS at the Fermi energy**: 1.33 states/eV/f.u.

Unit cell a=8.080 b=5.347 c=12.340 alpha=90.00 beta=90.00 gamma=90.00
Atoms (fractional coordinates):
K 0.250 0.250 0.166
K 0.250 0.750 0.666
K 0.750 0.250 0.334
K 0.750 0.750 0.834
Tl 0.049 0.250 0.878
Tl 0.232 0.250 0.456
Tl 0.268 0.750 0.956
Tl 0.451 0.750 0.378
Tl 0.549 0.250 0.622
Tl 0.732 0.250 0.044
Tl 0.768 0.750 0.544
Tl 0.951 0.750 0.122
In 0.056 0.750 0.374
In 0.444 0.250 0.874
In 0.556 0.750 0.126
In 0.944 0.250 0.626

# 6
Below is a relaxed ScMnZnIr2 crystal, with properties calculated at the PBE-GGA level.

## Properties
**ΔE_f**: 2.68 eV/f.u.
**DOS at the Fermi energy**: 3.21 states/eV/f.u.

Unit cell a=4.605 b=4.605 c=4.362 alpha=90.00 beta=90.00 gamma=90.00
Atoms (fractional coordinates):
Sc 0.000 0.000 0.000
Mn 0.500 0.500 0.000
Zn 0.500 0.500 0.500
Ir 0.000 0.500 0.500
Ir 0.500 0.000 0.500

# 7
Below is a relaxed Ti2FePt crystal, with properties calculated at the PBE-GGA level.

## Properties
**ΔE_f**: -2.39 eV/f.u.
**DOS at the Fermi energy**: 1.83 states/eV/f.u.

Unit cell a=9.359 b=9.359 c=4.233 alpha=90.00 beta=90.00 gamma=161.32
Atoms (fractional coordinates):
Ti 0.052 0.948 0.750
Ti 0.190 0.810 0.250
Ti 0.810 0.190 0.750
Ti 0.948 0.052 0.250
Fe 0.442 0.558 0.750
Fe 0.558 0.442 0.250
Pt 0.333 0.667 0.250
Pt 0.667 0.333 0.750

# 8
Below is a relaxed LaZn2SnAu5 crystal, with properties calculated at the PBE-GGA level.

## Properties
**ΔE_f**: -2.76 eV/f.u.
**DOS at the Fermi energy**: 2.83 states/eV/f.u.

Unit cell a=4.968 b=4.968 c=7.754 alpha=90.00 beta=90.00 gamma=90.00
Atoms (fractional coordinates):
La 0.000 0.000 0.000
Zn 0.500 0.500 0.343
Zn 0.500 0.500 0.657
Sn 0.000 0.000 0.500
Au 0.000 0.500 0.251
Au 0.000 0.500 0.749
Au 0.500 0.000 0.251
Au 0.500 0.000 0.749
Au 0.500 0.500 0.000

# 9
Below is a relaxed Cr3BP crystal, with properties calculated at the PBE-GGA level.

## Properties
**ΔE_f**: 1.36 eV/f.u.
**DOS at the Fermi energy**: 6.13 states/eV/f.u.
**Distance to the lowest polymorph of the same formula**: 500 meV per atom

Unit cell a=3.843 b=3.843 c=3.843 alpha=90.00 beta=90.00 gamma=90.00
Atoms (fractional coordinates):
Cr 0.000 0.000 0.500
Cr 0.000 0.500 0.000
Cr 0.500 0.000 0.000
B 0.000 0.000 0.000
P 0.500 0.500 0.500

# 10
Below is a relaxed Na3Sn2Bi3 crystal, with properties calculated at the PBE-GGA level.

## Properties
**ΔE_f**: -1.54 eV/f.u.
**DOS at the Fermi energy**: 1.79 states/eV/f.u.

Unit cell a=7.003 b=7.003 c=15.573 alpha=90.00 beta=90.00 gamma=136.95
Atoms (fractional coordinates):
Na 0.054 0.946 0.616
Na 0.054 0.946 0.884
Na 0.289 0.711 0.750
Na 0.711 0.289 0.250
Na 0.946 0.054 0.116
Na 0.946 0.054 0.384
Sn 0.245 0.755 0.098
Sn 0.245 0.755 0.402
Sn 0.755 0.245 0.598
Sn 0.755 0.245 0.902
Bi 0.393 0.607 0.557
Bi 0.393 0.607 0.943
Bi 0.401 0.599 0.250
Bi 0.599 0.401 0.750
Bi 0.607 0.393 0.057
Bi 0.607 0.393 0.443

# 11
Below is a relaxed Nd5YTm2Sc crystal, with properties calculated at the PBE-GGA level.

## Properties
**ΔE_f**: 1.17 eV/f.u.
**DOS at the Fermi energy**: 13.50 states/eV/f.u.

Unit cell a=11.245 b=11.245 c=10.254 alpha=90.00 beta=90.00 gamma=152.41
Atoms (fractional coordinates):
Nd 0.000 0.000 0.000
Nd 0.000 0.000 0.500
Nd 0.126 0.874 0.750
Nd 0.221 0.779 0.061
Nd 0.221 0.779 0.438
Nd 0.499 0.501 0.250
Nd 0.501 0.499 0.750
Nd 0.779 0.221 0.561
Nd 0.779 0.221 0.938
Nd 0.874 0.126 0.250
Y 0.101 0.899 0.250
Y 0.899 0.101 0.750
Tm 0.384 0.616 0.997
Tm 0.385 0.615 0.503
Tm 0.615 0.385 0.003
Tm 0.616 0.384 0.497
Sc 0.286 0.714 0.749
Sc 0.714 0.286 0.249

# 12
Below is a relaxed NaLa2YMn crystal, with properties calculated at the PBE-GGA level.

## Properties
**ΔE_f**: 1.06 eV/f.u.
**DOS at the Fermi energy**: 5.61 states/eV/f.u.

Unit cell a=5.306 b=5.306 c=5.585 alpha=90.00 beta=90.00 gamma=90.00
Atoms (fractional coordinates):
Na 0.000 0.000 0.000
La 0.000 0.500 0.500
La 0.500 0.000 0.500
Y 0.500 0.500 0.000
Mn 0.500 0.500 0.500

# 13
Below is a relaxed Li2InSb crystal, with properties calculated at the PBE-GGA level.

## Properties
**Formation energy from raw total energies**: -36.0 kJ per mole of atoms
**DOS at the Fermi energy**: 1.35 states/eV/f.u.

Unit cell a=4.432 b=4.432 c=4.256 alpha=90.00 beta=90.00 gamma=90.00
Atoms (fractional coordinates):
Li 0.000 0.500 0.000
Li 0.500 0.000 0.000
In 0.000 0.000 0.500
Sb 0.500 0.500 0.500

# 14
Below is a relaxed LiAc6Zn5 crystal, with properties calculated at the PBE-GGA level.

## Properties
**ΔE_f**: -2.43 eV/f.u.
**DOS at the Fermi energy**: 11.84 states/eV/f.u.

Unit cell a=9.620 b=9.620 c=9.620 alpha=146.50 beta=131.69 gamma=60.07
Atoms (fractional coordinates):
Li 0.000 0.000 0.000
Ac 0.084 0.830 0.254
Ac 0.259 0.500 0.759
Ac 0.424 0.170 0.254
Ac 0.576 0.830 0.746
Ac 0.741 0.500 0.241
Ac 0.916 0.170 0.746
Zn 0.160 0.660 0.500
Zn 0.334 0.334 0.000
Zn 0.500 0.000 0.500
Zn 0.666 0.666 0.000
Zn 0.840 0.340 0.500

# 15
Below is a relaxed AcTb6Dy3Tm2 crystal, with properties calculated at the PBE-GGA level.

## Properties
**ΔE_f**: 0.38 eV/f.u.
**DOS at the Fermi energy**: 15.19 states/eV/f.u.

Unit cell a=6.191 b=6.191 c=11.872 alpha=94.98 beta=94.98 gamma=119.98
Atoms (fractional coordinates):
Ac 0.000 0.000 0.000
Tb 0.085 0.422 0.254
Tb 0.252 0.252 0.746
Tb 0.422 0.085 0.254
Tb 0.578 0.915 0.746
Tb 0.748 0.748 0.254
Tb 0.915 0.578 0.746
Dy 0.167 0.833 0.500
Dy 0.500 0.500 0.500
Dy 0.833 0.167 0.500
Tm 0.333 0.667 0.000
Tm 0.667 0.333 0.000

# 16
Below is a relaxed Pm2Y2Tl3 crystal, with properties calculated at the PBE-GGA level.

## Properties
**ΔE_f**: -1.76 eV/f.u.
**DOS at the Fermi energy**: 6.57 states/eV/f.u.
**Distance to the lowest polymorph of the same formula**: 14 meV per atom

Unit cell a=16.343 b=16.343 c=3.576 alpha=90.00 beta=90.00 gamma=167.44
Atoms (fractional coordinates):
Pm 0.069 0.931 0.000
Pm 0.931 0.069 0.000
Y 0.202 0.798 0.000
Y 0.798 0.202 0.000
Tl 0.362 0.638 0.500
Tl 0.500 0.500 0.500
Tl 0.638 0.362 0.500

# 17
Below is a relaxed Te2RuCl crystal, with properties calculated at the PBE-GGA level.

## Properties
**Formation energy from raw total energies**: 4.3 kJ per mole of atoms
**DOS at the Fermi energy**: 3.53 states/eV/f.u.
**Distance to the lowest polymorph of the same formula**: 249 meV per atom

Unit cell a=10.811 b=10.811 c=10.811 alpha=18.22 beta=18.22 gamma=18.22
Atoms (fractional coordinates):
Te 0.000 0.000 0.000
Te 0.229 0.229 0.229
Ru 0.720 0.720 0.720
Cl 0.439 0.439 0.439

# 18
Below is a relaxed PmHgN crystal, with properties calculated at the PBE-GGA level.

## Properties
**Formation energy from raw total energies**: -45.4 kJ per mole of atoms
**DOS at the Fermi energy**: 2.25 states/eV/f.u.
**Distance to the lowest polymorph of the same formula**: 65 meV per atom

Unit cell a=3.895 b=3.895 c=12.820 alpha=90.00 beta=90.00 gamma=120.00
Atoms (fractional coordinates):
Pm 0.000 0.000 0.197
Pm 0.000 0.000 0.803
Hg 0.333 0.667 0.407
Hg 0.667 0.333 0.593
N 0.333 0.667 0.830
N 0.667 0.333 0.170

# 19
Below is a relaxed Sr10Al2ClF25 crystal, with properties calculated at the PBE-GGA level.

## Properties
**Formation energy from raw total energies**: -367.9 kJ per mole of atoms
**DOS at the Fermi energy**: 0.00 states/eV/f.u.

Unit cell a=11.739 b=11.739 c=11.739 alpha=60.00 beta=60.00 gamma=60.00
Atoms (fractional coordinates):
Sr 0.131 0.790 0.790
Sr 0.181 0.181 0.569
Sr 0.181 0.569 0.181
Sr 0.181 0.569 0.569
Sr 0.210 0.210 0.210
Sr 0.210 0.210 0.869
Sr 0.210 0.869 0.210
Sr 0.431 0.431 0.819
Sr 0.431 0.819 0.431
Sr 0.431 0.819 0.819
Sr 0.569 0.181 0.181
Sr 0.569 0.181 0.569
Sr 0.569 0.569 0.181
Sr 0.790 0.131 0.790
Sr 0.790 0.790 0.131
Sr 0.790 0.790 0.790
Sr 0.819 0.431 0.431
Sr 0.819 0.431 0.819
Sr 0.819 0.819 0.431
Sr 0.869 0.210 0.210
Al 0.000 0.000 0.000
Al 0.000 0.000 0.500
Al 0.000 0.500 0.000
Al 0.500 0.000 0.000
Cl 0.375 0.375 0.375
Cl 0.625 0.625 0.625
F 0.038 0.038 0.607
F 0.038 0.038 0.818
F 0.038 0.607 0.038
F 0.038 0.607 0.818
F 0.038 0.818 0.038
F 0.038 0.818 0.607
F 0.100 0.357 0.357
F 0.100 0.357 0.685
F 0.100 0.685 0.357
F 0.125 0.125 0.125
F 0.182 0.393 0.962
F 0.182 0.962 0.393
F 0.182 0.962 0.962
F 0.315 0.643 0.643
F 0.315 0.643 0.900
F 0.315 0.900 0.643
F 0.357 0.100 0.357
F 0.357 0.100 0.685
F 0.357 0.357 0.100
F 0.357 0.357 0.685
F 0.357 0.685 0.100
F 0.357 0.685 0.357
F 0.393 0.182 0.962
F 0.393 0.962 0.182
F 0.393 0.962 0.962
F 0.607 0.038 0.038
F 0.607 0.038 0.818
F 0.607 0.818 0.038
F 0.643 0.315 0.643
F 0.643 0.315 0.900
F 0.643 0.643 0.315
F 0.643 0.643 0.900
F 0.643 0.900 0.315
F 0.643 0.900 0.643
F 0.685 0.100 0.357
F 0.685 0.357 0.100
F 0.685 0.357 0.357
F 0.818 0.038 0.038
F 0.818 0.038 0.607
F 0.818 0.607 0.038
F 0.875 0.875 0.875
F 0.900 0.315 0.643
F 0.900 0.643 0.315
F 0.900 0.643 0.643
F 0.962 0.182 0.393
F 0.962 0.182 0.962
F 0.962 0.393 0.182
F 0.962 0.393 0.962
F 0.962 0.962 0.182
F 0.962 0.962 0.393

# 20
Below is a relaxed SrCaPrSbO6 crystal, with properties calculated at the PBE-GGA level.

## Properties
**Formation energy from raw total energies**: -234.5 kJ per mole of atoms
**DOS at the Fermi energy**: 0.00 states/eV/f.u.
**Distance to the lowest polymorph of the same formula**: 160 meV per atom

Unit cell a=6.059 b=6.059 c=6.059 alpha=60.00 beta=60.00 gamma=60.00
Atoms (fractional coordinates):
Sr 0.000 0.000 0.000
Ca 0.500 0.500 0.500
Pr 0.750 0.750 0.750
Sb 0.250 0.250 0.250
O 0.018 0.018 0.482
O 0.018 0.482 0.018
O 0.018 0.482 0.482
O 0.482 0.018 0.018
O 0.482 0.018 0.482
O 0.482 0.482 0.018